This record from Alexandria via LeMat-Bulk describes a relaxed structure of RbSi3Au2. The functional is PBE.

## Properties
* formation energy without anion corrections: -0.043 eV/atom
* space group: C2/c, No. 15
* crystal system: monoclinic
* density: 6.3 g cm⁻³
* magnetization: 0.00 μB/f.u.
* DOS at the Fermi energy: 1.22 states/eV/f.u.
* electronic total energy: -4.008 eV/atom

Lattice parameters (Å, degrees): 7.283 7.283 8.358 124.88 124.88 71.99
Fractional coordinates of all 12 atoms:
Si  0.861  0.360  0.362
Si  0.139  0.640  0.638
Si  0.140  0.639  0.138
Si  0.860  0.361  0.862
Si  0.874  0.626  0.750
Si  0.126  0.374  0.250
Au  0.002  0.001  0.176
Au  0.499  0.498  0.324
Au  0.501  0.502  0.676
Au  0.998  0.999  0.824
Rb  0.376  0.124  0.750
Rb  0.624  0.876  0.250

---

This record from Alexandria via LeMat-Bulk describes a relaxed structure of AcPm3Nd2Y6. The functional is PBE.

## Properties
* space group: C2/m, No. 12
* crystal system: monoclinic
* density: 6.0 g cm⁻³
* magnetization: 0.00 μB/f.u.
* E_form: 17 meV/atom
* DOS at the Fermi energy: 14.15 states/eV/f.u.
* electronic total energy: -5.540 eV/atom

Lattice parameters (Å, degrees): 6.330 6.330 11.949 95.05 95.05 119.99
Fractional coordinates of all 12 atoms:
Pm  0.500  0.500  0.500
Pm  0.167  0.833  0.500
Pm  0.833  0.167  0.500
Y  0.750  0.750  0.253
Y  0.579  0.915  0.747
Y  0.085  0.421  0.253
Y  0.915  0.579  0.747
Y  0.421  0.085  0.253
Y  0.250  0.250  0.747
Ac  0.000  0.000  0.000
Nd  0.667  0.333  0.000
Nd  0.333  0.667  0.000